Entry 1:
Computed, not measured: a crystal of Ca2LaH relaxed with PBEsol at the meta-GGA SCAN level of DFT.

Output
- Total energy: -15.6649 eV/atom

a = 5.6401 Å, b = 5.6401 Å, c = 5.6401 Å
α = 60.00°, β = 60.00°, γ = 60.00°
Element x y z (fractional)
1 Ca 0.2500 0.2500 0.2500
2 Ca 0.7500 0.7500 0.7500
3 La 0.0000 0.0000 0.0000
4 H 0.5000 0.5000 0.5000

Entry 2:
Computed, not measured: a crystal of CaLaMg2H relaxed with PBEsol at the meta-GGA SCAN level of DFT.

Output
- Total energy: -11.9040 eV/atom

a = 5.7877 Å, b = 5.7877 Å, c = 5.8473 Å
α = 90.00°, β = 90.00°, γ = 90.00°
Element x y z (fractional)
1 Ca 0.0000 0.0000 0.0000
2 La 0.0000 0.0000 0.5000
3 Mg 0.0000 0.5000 0.0000
4 Mg 0.5000 0.0000 0.0000
5 H 0.5000 0.5000 0.5000

Entry 3:
Computed, not measured: a crystal of LiCa2H2 relaxed with PBEsol at the meta-GGA SCAN level of DFT.

Output
- Total energy: -6.0871 eV/atom

a = 7.0773 Å, b = 7.0773 Å, c = 7.0773 Å
α = 148.06°, β = 148.06°, γ = 45.79°
Element x y z (fractional)
1 Li 0.0000 0.0000 0.0000
2 Ca 0.3413 0.3413 0.0000
3 Ca 0.6587 0.6587 0.0000
4 H 0.2500 0.7500 0.5000
5 H 0.7500 0.2500 0.5000

Entry 4:
Computed, not measured: a crystal of Li3CaH relaxed with PBEsol at the meta-GGA SCAN level of DFT.

Output
- Total energy: -3.9632 eV/atom

a = 4.6273 Å, b = 4.6273 Å, c = 4.6273 Å
α = 90.00°, β = 90.00°, γ = 90.00°
Element x y z (fractional)
1 Li 0.0000 0.0000 0.5000
2 Li 0.0000 0.5000 0.0000
3 Li 0.5000 0.0000 0.0000
4 Ca 0.5000 0.5000 0.5000
5 H 0.0000 0.0000 0.0000

Entry 5:
Computed, not measured: a crystal of LiCaHN2 relaxed with PBEsol at the meta-GGA SCAN level of DFT.

Output
- Total energy: -5.8266 eV/atom

a = 3.4051 Å, b = 3.4051 Å, c = 4.8549 Å
α = 90.00°, β = 90.00°, γ = 90.00°
Element x y z (fractional)
1 Li 0.0000 0.0000 0.0000
2 Ca 0.0000 0.0000 0.5000
3 H 0.5000 0.5000 0.5000
4 N 0.0000 0.5000 0.0000
5 N 0.5000 0.0000 0.0000

Entry 6:
Computed, not measured: a crystal of LiCaP3H8O13 relaxed with PBEsol at the meta-GGA SCAN level of DFT.

Output
- Total energy: -7.7776 eV/atom

a = 7.2110 Å, b = 7.4792 Å, c = 10.1471 Å
α = 86.83°, β = 73.84°, γ = 79.27°
Element x y z (fractional)
1 Li 0.0000 0.0000 0.0000
2 Li 0.0000 0.5000 0.5000
3 Ca 0.1723 0.1902 0.2382
4 Ca 0.8277 0.8098 0.7618
5 P 0.2595 0.8118 0.4882
6 P 0.3343 0.8038 0.7516
7 P 0.4126 0.5487 0.2657
8 P 0.5874 0.4513 0.7343
9 P 0.6657 0.1962 0.2484
10 P 0.7405 0.1882 0.5118
11 H 0.0673 0.2763 0.7867
12 H 0.0882 0.6053 0.0899
13 H 0.1453 0.3412 0.9750
14 H 0.1736 0.1771 0.5497
15 H 0.2977 0.2984 0.5981
16 H 0.3053 0.8490 0.0942
17 H 0.3507 0.3816 0.9851
18 H 0.3605 0.9693 0.9643
19 H 0.6395 0.0307 0.0357
20 H 0.6493 0.6184 0.0149
21 H 0.6947 0.1510 0.9058
22 H 0.7023 0.7016 0.4019
23 H 0.8264 0.8229 0.4503
24 H 0.8547 0.6588 0.0250
25 H 0.9118 0.3947 0.9101
26 H 0.9327 0.7237 0.2133
27 O 0.0164 0.2828 0.8890
28 O 0.1020 0.7083 0.5628
29 O 0.1194 0.8615 0.8164
30 O 0.1624 0.2813 0.6095
31 O 0.2103 0.9871 0.4174
32 O 0.2123 0.3841 0.0414
33 O 0.2451 0.4499 0.3252
34 O 0.2656 0.9737 0.0574
35 O 0.3786 0.5843 0.7539
36 O 0.3854 0.8496 0.5894
37 O 0.4233 0.6544 0.1353
38 O 0.4331 0.6764 0.3835
39 O 0.4785 0.8768 0.8055
40 O 0.5215 0.1232 0.1945
41 O 0.5669 0.3236 0.6165
42 O 0.5767 0.3456 0.8647
43 O 0.6146 0.1504 0.4107
44 O 0.6214 0.4157 0.2461
45 O 0.7344 0.0263 0.9426
46 O 0.7549 0.5501 0.6748
47 O 0.7877 0.6159 0.9586
48 O 0.7897 0.0129 0.5826
49 O 0.8376 0.7187 0.3905
50 O 0.8806 0.1385 0.1836
51 O 0.8980 0.2917 0.4372
52 O 0.9836 0.7172 0.1110

Entry 7:
Computed, not measured: a crystal of LiCaTaH2 relaxed with PBEsol at the meta-GGA SCAN level of DFT.

Output
- Total energy: -16.6001 eV/atom

a = 3.7975 Å, b = 3.7975 Å, c = 5.0831 Å
α = 90.00°, β = 90.00°, γ = 90.00°
Element x y z (fractional)
1 Li 0.0000 0.0000 0.0000
2 Ca 0.5000 0.5000 0.0000
3 Ta 0.0000 0.0000 0.5000
4 H 0.0000 0.5000 0.5000
5 H 0.5000 0.0000 0.5000

Entry 8:
Computed, not measured: a crystal of CaMg2H relaxed with PBEsol at the meta-GGA SCAN level of DFT.

Output
- Total energy: -5.7615 eV/atom

a = 6.3203 Å, b = 6.3203 Å, c = 6.3203 Å
α = 60.00°, β = 60.00°, γ = 60.00°
Element x y z (fractional)
1 Ca 0.1250 0.1250 0.1250
2 Ca 0.8750 0.8750 0.8750
3 Mg 0.0000 0.5000 0.5000
4 Mg 0.5000 0.0000 0.5000
5 Mg 0.5000 0.5000 0.0000
6 Mg 0.5000 0.5000 0.5000
7 H 0.3750 0.3750 0.3750
8 H 0.6250 0.6250 0.6250

Entry 9:
Computed, not measured: a crystal of CaMgH3 relaxed with PBEsol at the meta-GGA SCAN level of DFT.

Output
- Total energy: -4.9915 eV/atom

a = 4.1360 Å, b = 4.1360 Å, c = 4.1360 Å
α = 90.00°, β = 90.00°, γ = 90.00°
Element x y z (fractional)
1 Ca 0.0000 0.0000 0.0000
2 Mg 0.5000 0.5000 0.5000
3 H 0.0000 0.0000 0.5000
4 H 0.0000 0.5000 0.0000
5 H 0.5000 0.0000 0.0000

Entry 10:
Computed, not measured: a crystal of Ca4Mg3H14 relaxed with PBEsol at the meta-GGA SCAN level of DFT.

Output
- Total energy: -5.3571 eV/atom

a = 6.1624 Å, b = 6.1624 Å, c = 6.8023 Å
α = 90.00°, β = 90.00°, γ = 120.00°
Element x y z (fractional)
1 Ca 0.0000 0.0000 0.2322
2 Ca 0.0000 0.0000 0.7678
3 Ca 0.3333 0.6667 0.0000
4 Ca 0.6667 0.3333 0.0000
5 Mg 0.0000 0.5643 0.5000
6 Mg 0.4357 0.4357 0.5000
7 Mg 0.5643 0.0000 0.5000
8 H 0.0000 0.2284 0.5000
9 H 0.0000 0.2637 0.0000
10 H 0.0000 0.6140 0.2204
11 H 0.0000 0.6140 0.7796
12 H 0.2284 0.0000 0.5000
13 H 0.2637 0.0000 0.0000
14 H 0.3333 0.6667 0.5000
15 H 0.3860 0.3860 0.2204
16 H 0.3860 0.3860 0.7796
17 H 0.6140 0.0000 0.2204
18 H 0.6140 0.0000 0.7796
19 H 0.6667 0.3333 0.5000
20 H 0.7363 0.7363 0.0000
21 H 0.7716 0.7716 0.5000

Entry 11:
Computed, not measured: a crystal of CaMgNiH4 relaxed with PBEsol at the meta-GGA SCAN level of DFT.

Output
- Total energy: -6.8650 eV/atom

a = 6.6483 Å, b = 6.6483 Å, c = 6.6483 Å
α = 90.00°, β = 90.00°, γ = 90.00°
Element x y z (fractional)
1 Ca 0.1855 0.3145 0.6855
2 Ca 0.3145 0.6855 0.1855
3 Ca 0.6855 0.1855 0.3145
4 Ca 0.8145 0.8145 0.8145
5 Mg 0.1721 0.1721 0.1721
6 Mg 0.3279 0.8279 0.6721
7 Mg 0.6721 0.3279 0.8279
8 Mg 0.8279 0.6721 0.3279
9 Ni 0.0439 0.9561 0.4561
10 Ni 0.4561 0.0439 0.9561
11 Ni 0.5439 0.5439 0.5439
12 Ni 0.9561 0.4561 0.0439
13 H 0.0444 0.4426 0.2628
14 H 0.0574 0.7372 0.5444
15 H 0.0937 0.5937 0.9063
16 H 0.2372 0.9556 0.9426
17 H 0.2628 0.0444 0.4426
18 H 0.4063 0.4063 0.4063
19 H 0.4426 0.2628 0.0444
20 H 0.4556 0.5574 0.7628
21 H 0.5444 0.0574 0.7372
22 H 0.5574 0.7628 0.4556
23 H 0.5937 0.9063 0.0937
24 H 0.7372 0.5444 0.0574
25 H 0.7628 0.4556 0.5574
26 H 0.9063 0.0937 0.5937
27 H 0.9426 0.2372 0.9556
28 H 0.9556 0.9426 0.2372

Entry 12:
Computed, not measured: a crystal of Ca2MgP2H4O10 relaxed with PBEsol at the meta-GGA SCAN level of DFT.

Output
- Total energy: -8.8631 eV/atom

a = 5.4414 Å, b = 5.7050 Å, c = 6.7819 Å
α = 107.73°, β = 97.03°, γ = 108.80°
Element x y z (fractional)
1 Ca 0.1518 0.2975 0.2637
2 Ca 0.8482 0.7025 0.7363
3 Mg 0.5000 0.0000 0.5000
4 P 0.1658 0.3378 0.7445
5 P 0.8342 0.6622 0.2555
6 H 0.3479 0.8707 0.0984
7 H 0.4184 0.8282 0.8173
8 H 0.5816 0.1718 0.1827
9 H 0.6521 0.1293 0.9016
10 O 0.0942 0.7453 0.4309
11 O 0.1357 0.1630 0.8789
12 O 0.2208 0.6313 0.8846
13 O 0.3980 0.3383 0.6298
14 O 0.4287 0.0485 0.2221
15 O 0.5713 0.9515 0.7779
16 O 0.6020 0.6617 0.3702
17 O 0.7792 0.3687 0.1154
18 O 0.8643 0.8370 0.1211
19 O 0.9058 0.2547 0.5691